HfSiAs2Br at its PBEsol-relaxed geometry. Source: Alexandria via LeMat-Bulk, functional meta-GGA SCAN.

Computed properties:
Its formation energy without anion corrections is 2.86 eV/f.u. The value obtained for the mass density is 6.9 g cm⁻³. The value obtained for the total energy is -25.933 eV/atom. The space-group type is P4/mmm. The density of states at the Fermi level is 2.080 states/eV/f.u.

```
HfSiAs2Br
1.0
-2.9966 -3.1276 1.8856
-0.1350 -2.3441 -4.1028
3.6519 -2.6564 1.3976
Hf Br As Si
1 1 2 1
Direct
0.5000 0.5000 0.5000
0.5000 0.0000 0.0000
0.0000 0.5000 0.0000
0.0000 0.0000 0.5000
0.0000 0.0000 0.0000
```